1.
## SiW3Cl (GGA-PBE)

Data for SiW3Cl after structural relaxation.

## Properties
Its crystal system is cubic. As for the spin magnetization: 0.00 μB/f.u. The calculation puts the electronic total energy at -7.509 eV/atom. The space group is No. 221. The value obtained for the raw formation energy is 8.59 eV/f.u. The distance to the lowest polymorph of the same formula is 0.000 eV/atom.

Cell lengths 4.389, 4.389, 4.389 Å; angles 90.00, 90.00, 90.00 degrees
Atoms (fractional coordinates):
1 Si 0.000 0.000 0.000
2 W 0.000 0.500 0.500
3 W 0.500 0.000 0.500
4 W 0.500 0.500 0.000
5 Cl 0.500 0.500 0.500


2.
## HoTmInPt (GGA-PBE)

Data for HoTmInPt after structural relaxation.

## Properties
Its crystal system is cubic. Its formation energy is -0.769 eV per atom. As for the spin magnetization: 0.00 μB/f.u. The calculation puts the electronic total energy at -5.226 eV/atom. The space group is No. 216.

Cell lengths 5.085, 5.085, 5.085 Å; angles 60.00, 60.00, 60.00 degrees
Atoms (fractional coordinates):
1 Ho 0.000 0.000 0.000
2 Tm 0.500 0.500 0.500
3 In 0.750 0.750 0.750
4 Pt 0.250 0.250 0.250


3.
## Co2SiH (GGA-PBE)

Data for Co2SiH after structural relaxation.

## Properties
Its crystal system is tetragonal. As for the spin magnetization: 0.00 μB/f.u. The calculation puts the electronic total energy at -5.729 eV/atom. The space group is No. 123. The distance to the lowest polymorph of the same formula is 0.165 eV/atom.

Cell lengths 2.622, 2.622, 5.167 Å; angles 90.00, 90.00, 90.00 degrees
Atoms (fractional coordinates):
1 Co 0.000 0.000 0.230
2 Co 0.000 0.000 0.770
3 Si 0.500 0.500 0.500
4 H 0.500 0.500 0.000


4.
## HfNbSb2 (GGA-PBE)

Data for HfNbSb2 after structural relaxation.

## Properties
Its crystal system is trigonal. As for the spin magnetization: 0.00 μB/f.u. The calculation puts the electronic total energy at -6.858 eV/atom. The space group is No. 166. The value obtained for the raw formation energy is 0.84 eV/f.u. The distance to the lowest polymorph of the same formula is 0.428 eV/atom.

Cell lengths 10.605, 10.605, 10.605 Å; angles 17.32, 17.32, 17.32 degrees
Atoms (fractional coordinates):
1 Hf 0.000 0.000 0.000
2 Nb 0.500 0.500 0.500
3 Sb 0.409 0.409 0.409
4 Sb 0.591 0.591 0.591


What did the third record say?
## Co2SiH (GGA-PBE)

Data for Co2SiH after structural relaxation.

## Properties
Its crystal system is tetragonal. As for the spin magnetization: 0.00 μB/f.u. The calculation puts the electronic total energy at -5.729 eV/atom. The space group is No. 123. The distance to the lowest polymorph of the same formula is 0.165 eV/atom.

Cell lengths 2.622, 2.622, 5.167 Å; angles 90.00, 90.00, 90.00 degrees
Atoms (fractional coordinates):
1 Co 0.000 0.000 0.230
2 Co 0.000 0.000 0.770
3 Si 0.500 0.500 0.500
4 H 0.500 0.500 0.000